# 1
ZrBe2Pt2 after structural relaxation, computed with PBE-GGA.

Results
SG: No. 127
ΔH_f (0 K): -0.556 eV per atom

Lattice parameters (Å, degrees): 7.1735 7.1735 2.7579 90.00 90.00 90.00
Closest atoms and distances in Å follow each position.
Atoms (fractional coordinates):
Zr1 0.0000 0.0000 0.0000  2 Zr 2.76, 4 Pt 2.77, 8 Be 3.04
Zr2 0.5000 0.5000 0.0000  2 Zr 2.76, 4 Pt 2.77, 8 Be 3.04
Be1 0.1547 0.3453 0.5000  6 Pt 2.50-2.52, 2 Be 2.76
Be2 0.3453 0.8453 0.5000  6 Pt 2.50-2.52, 2 Be 2.76
Be3 0.6547 0.1547 0.5000  6 Pt 2.50-2.52, 2 Be 2.76
Be4 0.8453 0.6547 0.5000  6 Pt 2.50-2.52, 2 Be 2.76
Pt1 0.1396 0.6396 0.0000  6 Be 2.50-2.52, 2 Pt 2.76, 2 Zr 2.77
Pt2 0.3604 0.1396 0.0000  6 Be 2.50-2.52, 2 Pt 2.76, 2 Zr 2.77
Pt3 0.6396 0.8604 0.0000  6 Be 2.50-2.52, 2 Pt 2.76, 2 Zr 2.77
Pt4 0.8604 0.3604 0.0000  6 Be 2.50-2.52, 2 Pt 2.76, 2 Zr 2.77

***

# 2
NaAlZn2 after structural relaxation, computed with PBE-GGA.

Results
SG: No. 62
ΔH_f (0 K): -0.004 eV per atom

Lattice parameters (Å, degrees): 7.0628 4.3587 9.8158 90.00 90.00 90.00
Closest atoms and distances in Å follow each position.
Atoms (fractional coordinates):
Na1 0.2074 0.2500 0.1771  7 Zn 2.89-3.16, 1 Al 3.17
Na2 0.2926 0.7500 0.6771  7 Zn 2.89-3.16, 1 Al 3.17
Na3 0.7074 0.2500 0.3229  7 Zn 2.89-3.16, 1 Al 3.17
Na4 0.7926 0.7500 0.8229  7 Zn 2.89-3.16, 1 Al 3.17
Al1 0.0465 0.7500 0.4074  5 Zn 2.62-2.80, 2 Al 2.91
Al2 0.4535 0.2500 0.9074  5 Zn 2.62-2.80, 2 Al 2.91
Al3 0.5465 0.7500 0.0926  5 Zn 2.62-2.80, 2 Al 2.91
Al4 0.9535 0.2500 0.5926  5 Zn 2.62-2.80, 2 Al 2.91
Zn1 0.0819 0.2500 0.8548  3 Zn 2.63-2.75, 2 Al 2.68-2.73
Zn2 0.2190 0.7500 0.9668  3 Al 2.62-2.80, 3 Zn 2.63-2.75, 1 Na 2.89
Zn3 0.2810 0.2500 0.4668  3 Al 2.62-2.80, 3 Zn 2.63-2.75, 1 Na 2.89
Zn4 0.4182 0.7500 0.3548  3 Zn 2.63-2.75, 2 Al 2.68-2.73
Zn5 0.5818 0.2500 0.6452  3 Zn 2.63-2.75, 2 Al 2.68-2.73
Zn6 0.7190 0.7500 0.5332  3 Al 2.62-2.80, 3 Zn 2.63-2.75, 1 Na 2.89
Zn7 0.7810 0.2500 0.0332  3 Al 2.62-2.80, 3 Zn 2.63-2.75, 1 Na 2.89
Zn8 0.9182 0.7500 0.1452  3 Zn 2.63-2.75, 2 Al 2.68-2.73

***

# 3
BaSmCu2Te4 after structural relaxation, computed with PBE-GGA.

Results
Uncorrected formation energy: -0.72 eV per atom
SG: No. 23

Lattice parameters (Å, degrees): 7.0264 7.0264 7.0264 120.20 107.74 101.09
Closest atoms and distances in Å follow each position.
Atoms (fractional coordinates):
Ba1 0.0000 0.0000 0.0000  8 Te 3.52-3.58
Sm1 0.5000 0.5000 0.0000  4 Te 3.05
Cu1 0.3568 0.8568 0.5000  1 Cu 2.56, 2 Te 2.56
Cu2 0.6432 0.1432 0.5000  1 Cu 2.56, 2 Te 2.56
Te1 0.0844 0.0497 0.5465  1 Cu 2.56
Te2 0.4968 0.9503 0.0346  1 Cu 2.56
Te3 0.5032 0.5378 0.4535  1 Cu 2.56
Te4 0.9156 0.4622 0.9654  1 Cu 2.56

***

# 4
LaAlIr after structural relaxation, computed with PBE-GGA.

Results
SG: No. 216
ΔH_f (0 K): 0.389 eV per atom

Lattice parameters (Å, degrees): 4.8122 4.8122 4.8122 60.00 60.00 60.00
Closest atoms and distances in Å follow each position.
Atoms (fractional coordinates):
La1 0.0000 0.0000 0.0000  4 Al 2.95, 4 Ir 2.95
Al1 0.2500 0.2500 0.2500  4 La 2.95
Ir1 0.7500 0.7500 0.7500  4 La 2.95

***

# 5
Tb10Y4Tm after structural relaxation, computed with PBE-GGA.

Results
SG: No. 87
ΔH_f (0 K): 0.746 eV per atom

Lattice parameters (Å, degrees): 9.4390 9.4390 9.4390 99.60 99.60 131.81
Closest atoms and distances in Å follow each position.
Atoms (fractional coordinates):
Tb1 0.0493 0.1495 0.7023  1 Tm 3.31, 3 Y 3.34
Tb2 0.1495 0.4472 0.1002  1 Tm 3.31, 3 Y 3.34
Tb3 0.2500 0.7500 0.5000  4 Y 3.35
Tb4 0.3469 0.0493 0.8998  1 Tm 3.31, 3 Y 3.34
Tb5 0.4472 0.3469 0.2977  1 Tm 3.31, 3 Y 3.34
Tb6 0.5528 0.6531 0.7023  1 Tm 3.31, 3 Y 3.34
Tb7 0.6531 0.9507 0.1002  1 Tm 3.31, 3 Y 3.34
Tb8 0.7500 0.2500 0.5000  4 Y 3.35
Tb9 0.8505 0.5528 0.8998  1 Tm 3.31, 3 Y 3.34
Tb10 0.9507 0.8505 0.2977  1 Tm 3.31, 3 Y 3.34
Y1 0.2009 0.6006 0.8016  8 Tb 3.34-3.35
Y2 0.3994 0.2009 0.6003  8 Tb 3.34-3.35
Y3 0.6006 0.7991 0.3997  8 Tb 3.34-3.35
Y4 0.7991 0.3994 0.1984  8 Tb 3.34-3.35
Tm1 0.0000 0.0000 0.0000  8 Tb 3.31

***

# 6
Cd2Sn2Bi after structural relaxation, computed with PBE-GGA.

Results
SG: No. 127
ΔH_f (0 K): 0.089 eV per atom

Lattice parameters (Å, degrees): 9.0344 9.0344 3.3917 90.00 90.00 90.00
Closest atoms and distances in Å follow each position.
Atoms (fractional coordinates):
Cd1 0.1183 0.3817 0.0000  1 Cd 3.02, 6 Sn 3.06-3.26
Cd2 0.3817 0.8817 0.0000  1 Cd 3.02, 6 Sn 3.06-3.26
Cd3 0.6183 0.1183 0.0000  1 Cd 3.02, 6 Sn 3.06-3.26
Cd4 0.8817 0.6183 0.0000  1 Cd 3.02, 6 Sn 3.06-3.26
Sn1 0.1827 0.6827 0.5000  6 Cd 3.06-3.26, 2 Bi 3.31, 2 Sn 3.39
Sn2 0.3173 0.1827 0.5000  6 Cd 3.06-3.26, 2 Bi 3.31, 2 Sn 3.39
Sn3 0.6827 0.8173 0.5000  6 Cd 3.06-3.26, 2 Bi 3.31, 2 Sn 3.39
Sn4 0.8173 0.3173 0.5000  6 Cd 3.06-3.26, 2 Bi 3.31, 2 Sn 3.39
Bi1 0.0000 0.0000 0.5000  4 Sn 3.31, 2 Bi 3.39
Bi2 0.5000 0.5000 0.5000  4 Sn 3.31, 2 Bi 3.39

***

# 7
BaCo4W after structural relaxation, computed with PBE-GGA.

Results
SG: No. 216
ΔH_f (0 K): 0.849 eV per atom

Lattice parameters (Å, degrees): 4.9922 4.9922 4.9922 60.00 60.00 60.00
Closest atoms and distances in Å follow each position.
Atoms (fractional coordinates):
Ba1 0.0000 0.0000 0.0000  12 Co 2.93, 4 W 3.06
Co1 0.1291 0.6236 0.6236  6 Co 2.47-2.52
Co2 0.6236 0.1291 0.6236  6 Co 2.47-2.52
Co3 0.6236 0.6236 0.1291  6 Co 2.47-2.52
Co4 0.6236 0.6236 0.6236  6 Co 2.47-2.52
W1 0.2500 0.2500 0.2500  12 Co 2.92, 4 Ba 3.06

***

# 8
PrNiSb2 after structural relaxation, computed with PBE-GGA.

Results
Uncorrected formation energy: -0.05 eV per atom
SG: No. 166

Lattice parameters (Å, degrees): 9.9569 9.9569 9.9569 20.34 20.34 20.34
Closest atoms and distances in Å follow each position.
Atoms (fractional coordinates):
Pr1 0.0000 0.0000 0.0000  2 Sb 3.24, 6 Pr 3.52
Ni1 0.5000 0.5000 0.5000  6 Sb 2.61
Sb1 0.1107 0.1107 0.1107  3 Ni 2.61
Sb2 0.8893 0.8893 0.8893  3 Ni 2.61

***

# 9
PmDyAlNi after structural relaxation, computed with PBE-GGA.

Results
SG: No. 216
ΔH_f (0 K): -0.263 eV per atom

Lattice parameters (Å, degrees): 5.0415 5.0415 5.0415 60.00 60.00 60.00
Closest atoms and distances in Å follow each position.
Atoms (fractional coordinates):
Pm1 0.0000 0.0000 0.0000  4 Al 3.09, 4 Ni 3.09
Dy1 0.5000 0.5000 0.5000  4 Ni 3.09, 4 Al 3.09
Al1 0.7500 0.7500 0.7500  4 Dy 3.09, 4 Pm 3.09
Ni1 0.2500 0.2500 0.2500  4 Dy 3.09, 4 Pm 3.09

***

# 10
SrLaGa4 after structural relaxation, computed with PBE-GGA.

Results
SG: No. 216
ΔH_f (0 K): -0.481 eV per atom

Lattice parameters (Å, degrees): 5.7528 5.7528 5.7528 60.00 60.00 60.00
Closest atoms and distances in Å follow each position.
Atoms (fractional coordinates):
Sr1 0.0000 0.0000 0.0000  12 Ga 3.37, 4 La 3.52
La1 0.2500 0.2500 0.2500  12 Ga 3.37, 4 Sr 3.52
Ga1 0.1268 0.6244 0.6244  6 Ga 2.86-2.89
Ga2 0.6244 0.1268 0.6244  6 Ga 2.86-2.89
Ga3 0.6244 0.6244 0.1268  6 Ga 2.86-2.89
Ga4 0.6244 0.6244 0.6244  6 Ga 2.86-2.89

***

# 11
Cs2Hg5Au3 after structural relaxation, computed with PBE-GGA.

Results
SG: No. 15
ΔH_f (0 K): -0.205 eV per atom

Lattice parameters (Å, degrees): 10.1571 10.1571 7.3894 111.32 111.32 67.96
Closest atoms and distances in Å follow each position.
Atoms (fractional coordinates):
Cs1 0.1191 0.6334 0.8750  6 Au 3.78-4.10, 11 Hg 3.84-4.20
Cs2 0.3666 0.8809 0.6250  6 Au 3.78-4.10, 11 Hg 3.84-4.20
Cs3 0.6334 0.1191 0.3750  6 Au 3.78-4.10, 11 Hg 3.84-4.20
Cs4 0.8809 0.3666 0.1250  6 Au 3.78-4.10, 11 Hg 3.84-4.20
Hg1 0.0045 0.7600 0.3808  3 Au 2.86-2.93, 2 Hg 3.14-3.20
Hg2 0.2400 0.9955 0.1192  3 Au 2.86-2.93, 2 Hg 3.14-3.20
Hg3 0.2570 0.2648 0.0096  2 Au 2.94-2.95, 2 Hg 3.14-3.20
Hg4 0.2648 0.2570 0.5096  2 Au 2.94-2.95, 2 Hg 3.14-3.20
Hg5 0.4982 0.5018 0.7500  4 Au 2.95-2.98
Hg6 0.5018 0.4982 0.2500  4 Au 2.95-2.98
Hg7 0.7352 0.7430 0.4904  2 Au 2.94-2.95, 2 Hg 3.14-3.20
Hg8 0.7430 0.7352 0.9904  2 Au 2.94-2.95, 2 Hg 3.14-3.20
Hg9 0.7600 0.0045 0.8808  3 Au 2.86-2.93, 2 Hg 3.14-3.20
Hg10 0.9955 0.2400 0.6192  3 Au 2.86-2.93, 2 Hg 3.14-3.20
Au1 0.0028 0.9972 0.7500  4 Hg 2.91-2.93
Au2 0.2540 0.5052 0.3809  5 Hg 2.86-2.98
Au3 0.4948 0.7460 0.1191  5 Hg 2.86-2.98
Au4 0.5052 0.2540 0.8809  5 Hg 2.86-2.98
Au5 0.7460 0.4948 0.6191  5 Hg 2.86-2.98
Au6 0.9972 0.0028 0.2500  4 Hg 2.91-2.93

***

# 12
H6PbN2F after structural relaxation, computed with PBE-GGA.

Results
VASP energy: -96.152 eV per cell
SG: No. 15

Lattice parameters (Å, degrees): 5.7924 5.7924 6.7913 104.99 104.99 82.42
Closest atoms and distances in Å follow each position.
Atoms (fractional coordinates):
H1 0.0536 0.5248 0.2361  1 N 1.03
H2 0.0586 0.7103 0.9606  1 N 1.04
H3 0.0723 0.2434 0.2779  1 N 1.02
H4 0.2434 0.0723 0.7779  1 N 1.02
H5 0.2897 0.9414 0.5394  1 N 1.04
H6 0.4752 0.9464 0.2639  1 N 1.03
H7 0.5248 0.0536 0.7361  1 N 1.03
H8 0.7103 0.0586 0.4606  1 N 1.04
H9 0.7566 0.9277 0.2221  1 N 1.02
H10 0.9277 0.7566 0.7221  1 N 1.02
H11 0.9414 0.2897 0.0394  1 N 1.04
H12 0.9464 0.4752 0.7639  1 N 1.03
Pb1 0.4505 0.5495 0.7500  2 N 2.53, 2 H 2.83
Pb2 0.5495 0.4505 0.2500  2 N 2.53, 2 H 2.83
N1 0.0277 0.6343 0.8008  3 H 1.02-1.04
N2 0.3657 0.9723 0.6992  3 H 1.02-1.04
N3 0.6343 0.0277 0.3008  3 H 1.02-1.04
N4 0.9723 0.3657 0.1992  3 H 1.02-1.04
F1 0.1663 0.8337 0.2500  4 H 1.88-1.96
F2 0.8337 0.1663 0.7500  4 H 1.88-1.96